VASP calculation (PBE) on an optimized crystal structure of Pr6Co2PBr3.

a b c (Å): 7.146 7.146 8.068
angles (deg): 98.43 98.43 119.99
Positions (direct):
Pr  0.087  0.434  0.804
Pr  0.218  0.218  0.196
Pr  0.434  0.087  0.804
Pr  0.566  0.913  0.196
Pr  0.782  0.782  0.804
Pr  0.913  0.566  0.196
Co  0.167  0.833  0.000
Co  0.833  0.167  0.000
P  0.500  0.500  0.000
Br  0.000  0.000  0.500
Br  0.336  0.664  0.500
Br  0.664  0.336  0.500

Values from the calculation:
For the density, the calculation gives 6006 kg/m³. The uncorrected energy is -64.7 eV/f.u.

---

VASP calculation (PBE) on an optimized crystal structure of Pr8Co3PBr4.

a b c (Å): 9.082 9.082 9.082
angles (deg): 53.82 53.82 53.82
Positions (direct):
Pr  0.220  0.738  0.738
Pr  0.231  0.231  0.231
Pr  0.262  0.262  0.780
Pr  0.262  0.780  0.262
Pr  0.738  0.220  0.738
Pr  0.738  0.738  0.220
Pr  0.769  0.769  0.769
Pr  0.780  0.262  0.262
Co  0.000  0.000  0.500
Co  0.000  0.500  0.000
Co  0.500  0.000  0.000
P  0.500  0.500  0.500
Br  0.000  0.000  0.000
Br  0.000  0.500  0.500
Br  0.500  0.000  0.500
Br  0.500  0.500  0.000

Values from the calculation:
For the density, the calculation gives 6064 kg/m³. The uncorrected energy is -85.6 eV/f.u.

---

VASP calculation (PBE) on an optimized crystal structure of Rb2CoPBr6.

a b c (Å): 7.453 7.453 7.453
angles (deg): 120.01 120.01 89.97
Positions (direct):
Rb  0.250  0.750  0.500
Rb  0.750  0.250  0.500
Co  0.000  0.000  0.000
P  0.500  0.500  0.000
Br  0.244  0.244  0.000
Br  0.250  0.250  0.499
Br  0.250  0.750  0.000
Br  0.750  0.250  0.000
Br  0.750  0.750  0.501
Br  0.756  0.756  0.000

Values from the calculation:
For the density, the calculation gives 4200 kg/m³. The uncorrected energy is -31.7 eV/f.u.

---

VASP calculation (PBE) on an optimized crystal structure of CoP2SBr.

a b c (Å): 4.303 4.303 4.861
angles (deg): 90.00 90.00 90.00
Positions (direct):
Co  0.000  0.000  0.000
P  0.000  0.500  0.000
P  0.500  0.000  0.000
S  0.000  0.000  0.500
Br  0.500  0.500  0.500

Values from the calculation:
For the density, the calculation gives 4296 kg/m³. For the distance to the lowest polymorph of the same formula, the calculation gives 0 meV/atom.

---

VASP calculation (PBE) on an optimized crystal structure of CoPSe2Br.

a b c (Å): 4.643 4.643 4.788
angles (deg): 90.00 90.00 90.00
Positions (direct):
Co  0.000  0.000  0.000
P  0.500  0.500  0.500
Se  0.000  0.500  0.000
Se  0.500  0.000  0.000
Br  0.000  0.000  0.500

Values from the calculation:
For the density, the calculation gives 5271 kg/m³. For the distance to the lowest polymorph of the same formula, the calculation gives 0 meV/atom.

---

VASP calculation (PBE) on an optimized crystal structure of CoPSe2Br.

a b c (Å): 4.897 4.897 4.908
angles (deg): 90.00 90.00 90.00
Positions (direct):
Co  0.000  0.000  0.000
P  0.500  0.500  0.500
Se  0.000  0.500  0.500
Se  0.500  0.000  0.500
Br  0.500  0.500  0.000

Values from the calculation:
For the density, the calculation gives 4625 kg/m³. For the distance to the lowest polymorph of the same formula, the calculation gives 204 meV/atom.

---

VASP calculation (PBE) on an optimized crystal structure of Sm8Co3PBr4.

a b c (Å): 8.904 8.904 8.904
angles (deg): 53.85 53.85 53.85
Positions (direct):
Sm  0.217  0.738  0.738
Sm  0.231  0.231  0.231
Sm  0.262  0.262  0.783
Sm  0.262  0.783  0.262
Sm  0.738  0.217  0.738
Sm  0.738  0.738  0.217
Sm  0.769  0.769  0.769
Sm  0.783  0.262  0.262
Co  0.000  0.000  0.500
Co  0.000  0.500  0.000
Co  0.500  0.000  0.000
P  0.500  0.500  0.500
Br  0.000  0.000  0.000
Br  0.000  0.500  0.500
Br  0.500  0.000  0.500
Br  0.500  0.500  0.000

Values from the calculation:
For the density, the calculation gives 6723 kg/m³. The uncorrected energy is -85.3 eV/f.u.

---

VASP calculation (PBE) on an optimized crystal structure of CoSn2PBr.

a b c (Å): 5.652 5.652 4.285
angles (deg): 90.00 90.00 90.00
Positions (direct):
Co  0.000  0.000  0.000
Sn  0.000  0.500  0.500
Sn  0.500  0.000  0.500
P  0.500  0.500  0.000
Br  0.000  0.000  0.500

Values from the calculation:
For the density, the calculation gives 4940 kg/m³. The uncorrected energy is -17.1 eV/f.u.

---

density of number 2 (Pr8Co3PBr4)? 6064 kg/m³

---

The lowest density belongs to which entry? Rb2CoPBr6

---

density of number 1 (Pr6Co2PBr3)? 6006 kg/m³

---

The lowest density belongs to which entry? Rb2CoPBr6